Entry 1:
First-principles (GGA-PBE) data for a relaxed structure of NaYFeS3, as listed in the Open Quantum Materials Database.

The structure in POSCAR format:
```
NaYFeS3
1.0
-0.4794 6.6009 -1.2070
-0.6152 6.1440 2.6705
10.4164 0.8413 0.4638
Fe Na S Y
2 2 6 2
direct
0.4739 0.4739 0.2500
0.5261 0.5261 0.7500
0.7540 0.7540 0.2500
0.2460 0.2460 0.7500
0.3665 0.3665 0.0774
0.0765 0.0765 0.2500
0.3665 0.3665 0.4226
0.6335 0.6335 0.5774
0.9235 0.9235 0.7500
0.6335 0.6335 0.9226
0.0000 0.0000 0.0000
0.0000 0.0000 0.5000
```

Output
Energy above the lowest structure with this stoichiometry, meV/atom: 25
Space group: No. 63


Entry 2:
First-principles (GGA-PBE) data for a relaxed structure of LiPrTe, as listed in the Open Quantum Materials Database.

The structure in POSCAR format:
```
LiPrTe
1.0
4.4948 0.0000 0.0000
-2.2474 3.8926 0.0000
0.0000 0.0000 4.1935
Li Pr Te
1 1 1
direct
0.0000 0.0000 0.1668
0.6667 0.3333 0.6666
0.3333 0.6667 0.1665
```

Output
Energy above the lowest structure with this stoichiometry, meV/atom: 0
Space group: No. 187


Entry 3:
First-principles (GGA-PBE) data for a relaxed structure of LiHfBeAu, as listed in the Open Quantum Materials Database.

The structure in POSCAR format:
```
LiHfBeAu
1.0
3.4083 -2.2682 -1.7721
1.4993 -3.6957 1.9989
-0.7064 -3.9893 -1.8678
Au Be Hf Li
1 1 1 1
direct
0.7500 0.7500 0.7500
0.2500 0.2500 0.2500
0.0000 0.0000 0.0000
0.5000 0.5000 0.5000
```

Output
Energy above the lowest structure with this stoichiometry, meV/atom: 70
Space group: No. 216


Entry 4:
First-principles (GGA-PBE) data for a relaxed structure of GdMgZn, as listed in the Open Quantum Materials Database.

The structure in POSCAR format:
```
GdMgZn
1.0
3.3159 0.0000 0.0000
-1.6579 2.8716 0.0000
0.0000 0.0000 15.0427
Gd Mg Zn
2 2 2
direct
0.0000 0.0000 0.1010
0.0000 0.0000 0.7159
0.6667 0.3333 0.5284
0.3333 0.6667 0.9073
0.6667 0.3333 0.2617
0.3333 0.6667 0.3847
```

Output
Total energy, eV/cell: -14.6
Space group: No. 156


Entry 5:
First-principles (GGA-PBE) data for a relaxed structure of SmErHf2Sb2, as listed in the Open Quantum Materials Database.

The structure in POSCAR format:
```
SmErHf2Sb2
1.0
-2.1384 2.1384 8.3040
2.1384 -2.1384 8.3040
2.1384 2.1384 -8.3040
Er Hf Sb Sm
1 2 2 1
direct
0.6749 0.6749 0.0000
0.5009 0.0009 0.5000
0.0009 0.5009 0.5000
0.1308 0.1308 0.0000
0.8699 0.8699 0.0000
0.3225 0.3225 0.0000
```

Output
Total energy, eV/cell: -41.6
Space group: No. 107


Entry 6:
First-principles (GGA-PBE) data for a relaxed structure of TbMo, as listed in the Open Quantum Materials Database.

The structure in POSCAR format:
```
TbMo
1.0
0.0019 -4.3054 1.4018
-3.5508 -1.6396 2.2816
-2.7498 -3.0190 -1.9561
Mo Tb
1 1
direct
0.0000 0.0000 0.0000
0.2500 0.2500 0.2500
```

Output
Energy above the lowest structure with this stoichiometry, meV/atom: 1638
Energy of formation from the pure elements, eV/atom: 2.391
Space group: No. 216


Entry 7:
First-principles (GGA-PBE) data for a relaxed structure of Lu2Mg, as listed in the Open Quantum Materials Database.

The structure in POSCAR format:
```
Lu2Mg
1.0
0.9302 -4.4847 4.2883
-3.8022 -4.9870 0.1995
2.1217 -5.6352 -1.7635
Lu Mg
4 2
direct
0.6250 0.6250 0.1250
0.6250 0.1250 0.6250
0.1250 0.6250 0.6250
0.6250 0.6250 0.6250
0.0000 0.0000 0.0000
0.2500 0.2500 0.2500
```

Output
Energy above the lowest structure with this stoichiometry, meV/atom: 0
Space group: No. 227


Entry 8:
First-principles (GGA-PBE) data for a relaxed structure of CsHfCu, as listed in the Open Quantum Materials Database.

The structure in POSCAR format:
```
CsHfCu
1.0
-0.9373 0.3036 4.9466
-1.2908 4.4214 2.0555
-4.7143 0.7416 1.6327
Cs Cu Hf
1 1 1
direct
0.2500 0.2500 0.2500
0.7500 0.7500 0.7500
0.0000 0.0000 0.0000
```

Output
Energy above the lowest structure with this stoichiometry, meV/atom: 0
Space group: No. 216


Entry 9:
First-principles (GGA-PBE) data for a relaxed structure of Lu2AlW, as listed in the Open Quantum Materials Database.

The structure in POSCAR format:
```
Lu2AlW
1.0
0.0000 3.4368 3.4368
3.4368 0.0000 3.4368
3.4368 3.4368 0.0000
Al Lu W
1 2 1
direct
0.5000 0.5000 0.5000
0.0000 0.0000 0.0000
0.7500 0.7500 0.7500
0.2500 0.2500 0.2500
```

Output
Total energy, eV/cell: -24.7
Space group: No. 216


Entry 10:
First-principles (GGA-PBE) data for a relaxed structure of RbTaNi, as listed in the Open Quantum Materials Database.

The structure in POSCAR format:
```
RbTaNi
1.0
0.0000 3.2104 3.2104
3.2104 0.0000 3.2104
3.2104 3.2104 0.0000
Ni Rb Ta
1 1 1
direct
0.2500 0.2500 0.2500
0.0000 0.0000 0.0000
0.7500 0.7500 0.7500
```

Output
Energy above the lowest structure with this stoichiometry, meV/atom: 870
Space group: No. 216


Entry 11:
First-principles (GGA-PBE) data for a relaxed structure of MgZn3, as listed in the Open Quantum Materials Database.

The structure in POSCAR format:
```
MgZn3
1.0
-3.9915 3.1793 -2.4041
-1.3353 -5.0589 2.1451
-0.8981 1.9791 4.1084
Mg Zn
2 6
direct
0.0076 0.5152 0.0000
0.8258 0.1516 0.5000
0.0029 0.0040 0.0000
0.5012 0.0040 0.0000
0.5034 0.5068 0.0000
0.3299 0.1597 0.5000
0.3322 0.6626 0.5000
0.8304 0.6626 0.5000
```

Output
Total energy, eV/cell: -10.8
Space group: No. 63


Entry 12:
First-principles (GGA-PBE) data for a relaxed structure of NaNbFeGe, as listed in the Open Quantum Materials Database.

The structure in POSCAR format:
```
NaNbFeGe
1.0
0.0000 3.2003 3.2003
3.2003 0.0000 3.2003
3.2003 3.2003 0.0000
Fe Ge Na Nb
1 1 1 1
direct
0.5000 0.5000 0.5000
0.0000 0.0000 0.0000
0.7500 0.7500 0.7500
0.2500 0.2500 0.2500
```

Output
Energy above the lowest structure with this stoichiometry, meV/atom: 88
Space group: No. 216


Entry 13:
First-principles (GGA-PBE) data for a relaxed structure of Tl2SiAu, as listed in the Open Quantum Materials Database.

The structure in POSCAR format:
```
Tl2SiAu
1.0
0.3522 1.8976 4.7093
-3.0237 3.8358 1.4306
-3.7339 -0.8200 3.3598
Au Si Tl
1 1 2
direct
0.2500 0.2500 0.2500
0.5000 0.5000 0.5000
0.0000 0.0000 0.0000
0.7500 0.7500 0.7500
```

Output
Total energy, eV/cell: -11.9
Space group: No. 216


Entry 14:
First-principles (GGA-PBE) data for a relaxed structure of TmMg2, as listed in the Open Quantum Materials Database.

The structure in POSCAR format:
```
TmMg2
1.0
-3.5632 -0.9851 6.1626
5.3155 -4.1974 2.4025
2.1598 3.7974 1.8559
Mg Tm
4 2
direct
0.3035 0.3035 0.0000
0.6965 0.6965 0.0000
0.8035 0.1965 0.5000
0.1965 0.8035 0.5000
0.0000 0.0000 0.0000
0.5000 0.5000 0.5000
```

Output
Total energy, eV/cell: -9.3
Space group: No. 136


Entry 15:
First-principles (GGA-PBE) data for a relaxed structure of TcBi2, as listed in the Open Quantum Materials Database.

The structure in POSCAR format:
```
TcBi2
1.0
-4.6136 -0.8578 5.3213
-2.3738 -5.0485 -2.8719
2.2354 -1.9727 1.6201
Bi Tc
4 2
direct
0.1480 0.3071 0.0000
0.8520 0.6929 0.0000
0.6480 0.1929 0.5000
0.3520 0.8071 0.5000
0.5000 0.5000 0.0000
0.0000 0.0000 0.5000
```

Output
Energy above the lowest structure with this stoichiometry, meV/atom: 106
Space group: No. 58


Entry 16:
First-principles (GGA-PBE) data for a relaxed structure of LuAlRe2, as listed in the Open Quantum Materials Database.

The structure in POSCAR format:
```
LuAlRe2
1.0
4.2267 -0.4126 -1.6569
2.6632 -3.4335 1.3779
1.0024 -3.3992 -2.8672
Al Lu Re
1 1 2
direct
0.5000 0.5000 0.5000
0.2500 0.2500 0.2500
0.0000 0.0000 0.0000
0.7500 0.7500 0.7500
```

Output
Total energy, eV/cell: -32.8
Space group: No. 216


Entry 17:
First-principles (GGA-PBE) data for a relaxed structure of CsOsAuSe2S, as listed in the Open Quantum Materials Database.

The structure in POSCAR format:
```
CsOsAuSe2S
1.0
-8.2477 0.3954 1.4860
7.7305 -2.9077 1.4741
1.5228 7.3432 6.4986
Au Cs Os S Se
2 2 2 2 4
direct
0.4448 0.5552 0.2500
0.5552 0.4448 0.7500
0.7536 0.2464 0.2500
0.2464 0.7536 0.7500
0.0000 0.0000 0.0000
0.0000 0.0000 0.5000
0.0519 0.9481 0.2500
0.9481 0.0519 0.7500
0.3995 0.6005 0.0118
0.3995 0.6005 0.4882
0.6005 0.3995 0.5118
0.6005 0.3995 0.9882
```

Output
Total energy, eV/cell: -53.8
Space group: No. 63


Entry 18:
First-principles (GGA-PBE) data for a relaxed structure of RbTcOs, as listed in the Open Quantum Materials Database.

The structure in POSCAR format:
```
RbTcOs
1.0
0.0000 3.2432 3.2432
3.2432 0.0000 3.2432
3.2432 3.2432 0.0000
Os Rb Tc
1 1 1
direct
0.2500 0.2500 0.2500
0.0000 0.0000 0.0000
0.7500 0.7500 0.7500
```

Output
Energy above the lowest structure with this stoichiometry, meV/atom: 1479
Space group: No. 216


| no. | volume (Å³/atom) |
| --- | --- |
| 1 | 21.92 |
| 2 | 24.46 |
| 3 | 15.70 |
| 4 | 23.87 |
| 5 | 25.32 |
| 6 | 32.82 |
| 7 | 29.11 |
| 8 | 30.24 |
| 9 | 20.30 |
| 10 | 22.06 |
| 11 | 16.06 |
| 12 | 16.39 |
| 13 | 23.30 |
| 14 | 40.86 |
| 15 | 25.18 |
| 16 | 16.75 |
| 17 | 26.42 |
| 18 | 22.74 |